{"formula": "Al8Zn2Cr", "functional": "PBE", "state": "relaxed", "vol_a3_per_atom": 15.67, "ef_mev_per_atom": -18, "crystal_system": "monoclinic", "spacegroup": "No. 12", "cell": [[3.898, 0.000, 0.000], [0.000, 6.419, 0.537], [-1.949, -2.140, 6.712]], "species": ["Al", "Al", "Al", "Al", "Al", "Al", "Al", "Al", "Cr", "Zn", "Zn"], "fractional_positions": [[0.410, 0.575, 0.819], [0.043, 0.728, 0.086], [0.867, 0.840, 0.733], [0.590, 0.425, 0.181], [0.679, 0.898, 0.358], [0.957, 0.272, 0.914], [0.133, 0.160, 0.267], [0.321, 0.102, 0.642], [0.500, 0.000, 0.000], [0.218, 0.612, 0.435], [0.782, 0.388, 0.565]]}